Entry 1:
Compound: Tb6CdSi2
Source: Alexandria
Functional: PBE
Structure: relaxed

Lattice parameters (Å, degrees): 8.5525 8.5525 8.5525 111.29 111.15 106.02
With the nearest neighbours (Å) after each atom.
Atoms (fractional coordinates):
Tb 0.0442 0.2461 0.7981  2 Si 2.96-3.21, 2 Cd 3.20-3.26
Tb 0.1806 0.2740 0.4547  3 Si 3.04-3.16, 1 Cd 3.17
Tb 0.1806 0.7260 0.9066  3 Si 3.04-3.16, 1 Cd 3.17
Tb 0.3223 0.0251 0.7028  3 Si 2.89-3.00
Tb 0.3223 0.6195 0.2972  3 Si 2.89-3.00
Tb 0.4480 0.2461 0.2019  2 Si 2.96-3.21, 2 Cd 3.20-3.26
Tb 0.5520 0.7539 0.7981  2 Si 2.96-3.21, 2 Cd 3.20-3.26
Tb 0.6777 0.3805 0.7028  3 Si 2.89-3.00
Tb 0.6777 0.9749 0.2972  3 Si 2.89-3.00
Tb 0.8194 0.2740 0.0934  3 Si 3.04-3.16, 1 Cd 3.17
Tb 0.8194 0.7260 0.5453  3 Si 3.04-3.16, 1 Cd 3.17
Tb 0.9558 0.7539 0.2019  2 Si 2.96-3.21, 2 Cd 3.20-3.26
Cd 0.0000 0.0000 0.0000  8 Tb 3.17-3.20, 2 Si 3.48
Cd 0.5000 0.5000 0.0000  8 Tb 3.26-3.40
Si 0.1162 0.6162 0.5000  1 Si 2.39
Si 0.3594 0.0000 0.3594  1 Si 2.72, 6 Tb 2.96-3.00
Si 0.6406 0.0000 0.6406  1 Si 2.72, 6 Tb 2.96-3.00
Si 0.8838 0.3838 0.5000  1 Si 2.39

Output
V	26.68	A^3/atom
Fermi-level density of states	14.494	states/eV per cell
calculated total energy	-4.866	eV/atom

***

Entry 2:
Compound: TbCdSi
Source: Alexandria
Functional: PBE
Structure: relaxed

Lattice parameters (Å, degrees): 4.3691 4.3691 4.0832 90.00 90.00 120.00
With the nearest neighbours (Å) after each atom.
Atoms (fractional coordinates):
Tb 0.0000 0.0000 0.0000  6 Si 3.16-3.33, 6 Cd 3.21-3.28
Cd 0.3333 0.6667 0.4862  3 Si 2.53
Si 0.6667 0.3333 0.5321  3 Cd 2.53

Output
V	22.50	A^3/atom
Fermi-level density of states	1.276	states/eV per cell
calculated total energy	-4.038	eV/atom

***

Entry 3:
Compound: TbCdSi
Source: Alexandria
Functional: PBE
Structure: relaxed

Lattice parameters (Å, degrees): 3.8231 4.2116 8.5731 103.62 90.06 90.01
With the nearest neighbours (Å) after each atom.
Atoms (fractional coordinates):
Tb 0.2504 0.0859 0.1804  6 Si 2.94-3.08, 1 Cd 3.27
Tb 0.7496 0.9141 0.8196  6 Si 2.94-3.08, 1 Cd 3.27
Cd 0.2498 0.2883 0.5733  1 Si 2.81, 4 Cd 3.08-3.12
Cd 0.7502 0.7117 0.4267  1 Si 2.81, 4 Cd 3.08-3.12
Si 0.2498 0.4568 0.9103  2 Si 2.43
Si 0.7502 0.5432 0.0897  2 Si 2.43

Output
V	22.36	A^3/atom
Fermi-level density of states	3.654	states/eV per cell
calculated total energy	-4.152	eV/atom

***

Entry 4:
Compound: CdSiTc
Source: Alexandria
Functional: PBE
Structure: relaxed

Lattice parameters (Å, degrees): 7.1435 6.9242 2.8739 82.53 73.96 23.51
With the nearest neighbours (Å) after each atom.
Atoms (fractional coordinates):
Cd 0.0000 0.0000 0.0000  6 Cd 2.87-3.22, 2 Tc 2.89, 2 Si 3.06
Si 0.3066 0.3066 0.6934  2 Tc 2.36
Tc 0.6781 0.6781 0.3219  2 Si 2.36

Output
V	17.20	A^3/atom
excess energy over the best structure of this formula in the dataset	0.290	eV per atom
Fermi-level density of states	3.572	states/eV per cell
calculated total energy	-5.248	eV/atom